[1]
Computed, not measured: BaPbS2 after structural relaxation at the PBE level of DFT.

a b c (Å): 4.3187 4.3187 22.3963
angles (deg): 90.00 90.00 120.00
Space group R3m (No. 160, hexagonal axes)
Unique sites:
Ba1 0.0000 0.0000 0.0000
Pb1 0.0000 0.0000 0.8309
S1 0.0000 0.0000 0.2440
S2 0.0000 0.0000 0.4197

The uncorrected energy is -0.34581 Ry/atom. Its density of states at the Fermi level is 0.0 states/eV/f.u.



[2]
Computed, not measured: Cu8AgPd2 after structural relaxation at the PBE level of DFT.

a b c (Å): 4.2442 6.6164 10.7812
angles (deg): 90.00 90.00 90.00
Space group Immm (No. 71)
Unique sites:
Cu1 0.0000 0.0000 0.1488
Cu2 0.0000 0.1902 0.3578
Cu3 0.0000 0.2994 0.0000
Ag1 0.0000 0.5000 0.5000
Pd1 0.0000 0.5000 0.2102

The uncorrected energy is -0.30131 Ry/atom. Its density of states at the Fermi level is 3.6 states/eV/f.u. Its formation enthalpy at 0 K is 0.0829 eV per atom.



[3]
Computed, not measured: Tl2Hg2F5 after structural relaxation at the PBE level of DFT.

a b c (Å): 13.0557 3.8429 7.2151
angles (deg): 90.00 111.51 90.00
Space group C2/m (No. 12)
Unique sites:
Tl1 0.1037 0.0000 0.2569
Hg1 0.1933 0.5000 0.8361
F1 0.0000 0.5000 0.0000
F2 0.0779 0.0000 0.7473
F3 0.1387 0.5000 0.4786

The uncorrected energy is -0.22463 Ry/atom. Its density of states at the Fermi level is 2.3 states/eV/f.u.



[4]
Computed, not measured: Dy6Y4Mg after structural relaxation at the PBE level of DFT.

a b c (Å): 6.5065 6.5065 17.0119
angles (deg): 90.00 90.00 90.00
Space group I-42m (No. 121)
Unique sites:
Dy1 0.0000 0.5000 0.0000
Dy2 0.1825 0.1825 0.1686
Y1 0.1756 0.1756 0.3654
Mg1 0.0000 0.0000 0.0000

The uncorrected energy is -0.34663 Ry/atom. Its density of states at the Fermi level is 13.8 states/eV/f.u. Its formation enthalpy at 0 K is 0.2896 eV per atom.



[5]
Computed, not measured: La2MgRu after structural relaxation at the PBE level of DFT.

a b c (Å): 3.4359 3.4359 9.0679
angles (deg): 90.00 90.00 90.00
Space group P4mm (No. 99)
Unique sites:
La1 0.0000 0.0000 0.0000
La2 0.5000 0.5000 0.3718
Mg1 0.0000 0.0000 0.6522
Ru1 0.5000 0.5000 0.8139

The uncorrected energy is -0.38096 Ry/atom. Its density of states at the Fermi level is 3.7 states/eV/f.u. Its formation enthalpy at 0 K is -0.0019 eV per atom.



[6]
Computed, not measured: SrScTlI6 after structural relaxation at the PBE level of DFT.

a b c (Å): 8.0840 8.0840 14.7332
angles (deg): 90.00 90.00 120.00
Space group P-31c (No. 163)
Unique sites:
Sr1 0.3333 0.6667 0.2500
Sc1 0.3333 0.6667 0.7500
Tl1 0.0000 0.0000 0.0000
I1 0.0354 0.3817 0.6333

The uncorrected energy is -0.25262 Ry/atom. Its density of states at the Fermi level is 0.0 states/eV/f.u.



[7]
Computed, not measured: LiScGa4Cu2 after structural relaxation at the PBE level of DFT.

a b c (Å): 4.1998 4.1998 24.4314
angles (deg): 90.00 90.00 120.00
Space group R-3m (No. 166, hexagonal axes)
Unique sites:
Li1 0.0000 0.0000 0.0000
Sc1 0.0000 0.0000 0.5000
Ga1 0.0000 0.0000 0.1079
Ga2 0.0000 0.0000 0.3755
Cu1 0.0000 0.0000 0.2637

The uncorrected energy is -0.28307 Ry/atom. Its density of states at the Fermi level is 2.2 states/eV/f.u. Its formation enthalpy at 0 K is -0.2832 eV per atom.



[8]
Computed, not measured: Ba4BiTe3 after structural relaxation at the PBE level of DFT.

a b c (Å): 7.1098 7.1098 7.1098
angles (deg): 90.00 90.00 90.00
Space group Pm-3m (No. 221)
Unique sites:
Ba1 0.0000 0.0000 0.0000
Ba2 0.0000 0.5000 0.5000
Bi1 0.5000 0.5000 0.5000
Te1 0.0000 0.0000 0.5000

The uncorrected energy is -0.30157 Ry/atom. Its density of states at the Fermi level is 5.4 states/eV/f.u.



[9]
Computed, not measured: Cs2PaSnS6 after structural relaxation at the PBE level of DFT.

a b c (Å): 10.4153 10.4153 10.4153
angles (deg): 90.00 90.00 90.00
Space group Fm-3m (No. 225)
Unique sites:
Cs1 0.2500 0.2500 0.2500
Pa1 0.0000 0.0000 0.0000
Sn1 0.0000 0.0000 0.5000
S1 0.0000 0.0000 0.2517

The uncorrected energy is -0.36603 Ry/atom. Its density of states at the Fermi level is 6.0 states/eV/f.u.



[10]
Computed, not measured: AgBiH after structural relaxation at the PBE level of DFT.

a b c (Å): 3.7551 3.7551 8.6947
angles (deg): 90.00 90.00 90.00
Space group I4mm (No. 107)
Unique sites:
Ag1 0.0000 0.0000 0.0000
Bi1 0.0000 0.0000 0.6780
H1 0.0000 0.0000 0.2027

The uncorrected energy is -0.21531 Ry/atom. Its density of states at the Fermi level is 1.0 states/eV/f.u.



[11]
Computed, not measured: CaMgGa2 after structural relaxation at the PBE level of DFT.

a b c (Å): 3.5036 3.5036 7.0596
angles (deg): 90.00 90.00 90.00
Space group P4/mmm (No. 123)
Unique sites:
Ca1 0.0000 0.0000 0.0000
Mg1 0.0000 0.0000 0.5000
Ga1 0.5000 0.5000 0.2893

The uncorrected energy is -0.20115 Ry/atom. Its density of states at the Fermi level is 1.7 states/eV/f.u. Its formation enthalpy at 0 K is -0.3243 eV per atom.



[12]
Computed, not measured: Er3TeCSe after structural relaxation at the PBE level of DFT.

a b c (Å): 6.7715 13.6599 6.5273
angles (deg): 90.00 104.78 90.00
Space group C2/c (No. 15)
Unique sites:
Er1 0.0000 0.2208 0.2500
Er2 0.2117 0.0532 0.9913
Te1 0.0000 0.2518 0.7500
C1 0.0000 0.0518 0.2500
Se1 0.0000 0.4286 0.2500

The uncorrected energy is -0.44046 Ry/atom. Its density of states at the Fermi level is 2.5 states/eV/f.u.